! YAgNO | OQMD | PBE-GGA | optimized geometry; values from VASP
&SYSTEM
  ibrav = 0, nat = 8, ntyp = 4
/
ATOMIC_SPECIES
Ag 107.87 Ag.upf
N 14.01 N.upf
O 16.00 O.upf
Y 88.91 Y.upf
CELL_PARAMETERS angstrom
3.925 0.000 0.000
0.000 5.626 0.000
0.000 0.000 6.215
ATOMIC_POSITIONS crystal
Ag 0.000 0.498 0.347
Ag 0.000 0.998 0.653
N 0.000 0.878 0.326
N 0.000 0.378 0.674
O 0.500 0.379 0.139
O 0.500 0.879 0.861
Y 0.500 0.998 0.190
Y 0.500 0.498 0.810
! Total energy = -6.547 eV/atom
! Space-group type = Pmc2_1
! Crystal system = orthorhombic
! Magnetization = 0.9 μB/f.u.